(1)
Below is crystalline Sr2AgPt at its relaxed geometry, with properties calculated at the PBE-GGA level.

Crystal system   monoclinic
E above lowest polymorph   0.00 kcal/mol of atoms

CIF file:
```
data_Sr2AgPt
_symmetry_space_group_name_H-M 'P 1 21/m 1'
_symmetry_Int_Tables_number 11
_cell_length_a 6.203
_cell_length_b 4.630
_cell_length_c 8.577
_cell_angle_alpha 90.00
_cell_angle_beta 110.75
_cell_angle_gamma 90.00
loop_
_symmetry_equiv_pos_as_xyz
'x,y,z'
'-x,-y,-z'
'-x,y+1/2,-z'
'x,-y+1/2,z'
loop_
_atom_site_label
_atom_site_type_symbol
_atom_site_fract_x
_atom_site_fract_y
_atom_site_fract_z
Sr1 Sr 0.213 0.250 0.438
Sr2 Sr 0.232 0.250 0.922
Ag1 Ag 0.346 0.750 0.215
Pt1 Pt 0.358 0.750 0.713
```

***

(2)
Below is crystalline Tl2Ni3PdS6 at its relaxed geometry, with properties calculated at the PBE-GGA level.

Crystal system   trigonal

CIF file:
```
data_Tl2Ni3PdS6
_symmetry_space_group_name_H-M 'P -3 m 1'
_symmetry_Int_Tables_number 164
_symmetry_space_group_name_Hall '-P 3 2"'
_cell_length_a 6.9084
_cell_length_b 6.9084
_cell_length_c 5.9873
_cell_angle_alpha 90.00
_cell_angle_beta 90.00
_cell_angle_gamma 120.00
loop_
_atom_site_label
_atom_site_type_symbol
_atom_site_fract_x
_atom_site_fract_y
_atom_site_fract_z
Tl1 Tl 0.3333 0.6667 0.1255
Ni1 Ni 0.0000 0.5000 0.5000
Pd1 Pd 0.0000 0.0000 0.5000
S1 S 0.1786 0.3571 0.6827
```

***

(3)
Below is crystalline Sm5Ga2Bi at its relaxed geometry, with properties calculated at the PBE-GGA level.

Crystal system   tetragonal

CIF file:
```
data_Sm5Ga2Bi
_symmetry_space_group_name_H-M 'I 4/m c m'
_symmetry_Int_Tables_number 140
_symmetry_space_group_name_Hall '-I 4 2c'
_cell_length_a 8.380
_cell_length_b 8.380
_cell_length_c 13.092
_cell_angle_alpha 90.00
_cell_angle_beta 90.00
_cell_angle_gamma 90.00
loop_
_atom_site_label
_atom_site_type_symbol
_atom_site_fract_x
_atom_site_fract_y
_atom_site_fract_z
Sm1 Sm 0.000 0.000 0.000
Sm2 Sm 0.154 0.346 0.142
Ga1 Ga 0.147 0.353 0.500
Bi1 Bi 0.000 0.000 0.250
```

***

(4)
Below is crystalline CsFeTeAuS2 at its relaxed geometry, with properties calculated at the PBE-GGA level.

Crystal system   orthorhombic

CIF file:
```
data_CsFeTeAuS2
_symmetry_space_group_name_H-M 'C m c m'
_symmetry_Int_Tables_number 63
_symmetry_space_group_name_Hall '-C 2c 2'
_cell_length_a 3.566
_cell_length_b 17.572
_cell_length_c 10.246
_cell_angle_alpha 90.00
_cell_angle_beta 90.00
_cell_angle_gamma 90.00
loop_
_atom_site_label
_atom_site_type_symbol
_atom_site_fract_x
_atom_site_fract_y
_atom_site_fract_z
Cs1 Cs 0.000 0.250 0.250
Fe1 Fe 0.000 0.000 0.000
Te1 Te 0.000 0.060 0.750
Au1 Au 0.000 0.420 0.750
S1 S 0.000 0.414 0.521
```

***

(5)
Below is crystalline NdYAsO at its relaxed geometry, with properties calculated at the PBE-GGA level.

Crystal system   orthorhombic
E above lowest polymorph   1.19 kcal/mol of atoms

CIF file:
```
data_NdYAsO
_symmetry_space_group_name_H-M 'P m c 21'
_symmetry_Int_Tables_number 26
_cell_length_a 4.200
_cell_length_b 8.019
_cell_length_c 5.731
_cell_angle_alpha 90.00
_cell_angle_beta 90.00
_cell_angle_gamma 90.00
loop_
_symmetry_equiv_pos_as_xyz
'x,y,z'
'-x,-y,z+1/2'
'-x,y,z'
'x,-y,z+1/2'
loop_
_atom_site_label
_atom_site_type_symbol
_atom_site_fract_x
_atom_site_fract_y
_atom_site_fract_z
Nd1 Nd 0.000 0.122 0.000
Y1 Y 0.500 0.290 0.457
As1 As 0.500 0.356 0.953
O1 O 0.000 0.175 0.415
```

***

(6)
Below is crystalline Na2Sm2Cd3 at its relaxed geometry, with properties calculated at the PBE-GGA level.

Crystal system   orthorhombic

CIF file:
```
data_Na2Sm2Cd3
_symmetry_space_group_name_H-M 'C m m m'
_symmetry_Int_Tables_number 65
_symmetry_space_group_name_Hall '-C 2 2'
_cell_length_a 4.065
_cell_length_b 25.762
_cell_length_c 3.599
_cell_angle_alpha 90.00
_cell_angle_beta 90.00
_cell_angle_gamma 90.00
loop_
_atom_site_label
_atom_site_type_symbol
_atom_site_fract_x
_atom_site_fract_y
_atom_site_fract_z
Na1 Na 0.000 0.206 0.000
Sm1 Sm 0.000 0.072 0.000
Cd1 Cd 0.000 0.358 0.500
Cd2 Cd 0.000 0.500 0.500
```

***

no.,total DFT energy (no corrections) (Ha/atom)
1,-0.134
2,-0.171
3,-0.176
4,-0.156
5,-0.262
6,-0.083